1:
Compound: CaAg2Au8
Source: the Alexandria database
Functional: GGA-PBE
Structure: optimized geometry

Values from the calculation:
symmetry	P4/mmm, No. 123

Lattice parameters (Å, degrees): 5.5012 5.5012 8.9007 90.00 90.00 90.00
Closest atoms and distances in Å follow each position.
Positions (direct):
Ca (0.5000, 0.5000, 0.5000)  8 Au 3.05
Ag (0.5000, 0.0000, 0.0000)  8 Au 2.87
Ag (0.0000, 0.5000, 0.0000)  8 Au 2.87
Au (0.7516, 0.7516, 0.2376)  4 Au 2.73-2.77, 2 Ag 2.87, 1 Ca 3.05
Au (0.7516, 0.2484, 0.7624)  4 Au 2.73-2.77, 2 Ag 2.87, 1 Ca 3.05
Au (0.7516, 0.7516, 0.7624)  4 Au 2.73-2.77, 2 Ag 2.87, 1 Ca 3.05
Au (0.7516, 0.2484, 0.2376)  4 Au 2.73-2.77, 2 Ag 2.87, 1 Ca 3.05
Au (0.2484, 0.7516, 0.2376)  4 Au 2.73-2.77, 2 Ag 2.87, 1 Ca 3.05
Au (0.2484, 0.7516, 0.7624)  4 Au 2.73-2.77, 2 Ag 2.87, 1 Ca 3.05
Au (0.2484, 0.2484, 0.2376)  4 Au 2.73-2.77, 2 Ag 2.87, 1 Ca 3.05
Au (0.2484, 0.2484, 0.7624)  4 Au 2.73-2.77, 2 Ag 2.87, 1 Ca 3.05

=====

2:
Compound: CaAg2Au8
Source: the Alexandria database
Functional: GGA-PBE
Structure: optimized geometry

Values from the calculation:
symmetry	C2/m, No. 12

Lattice parameters (Å, degrees): 4.1989 6.6862 7.8915 105.02 105.43 90.00
Closest atoms and distances in Å follow each position.
Positions (direct):
Ca (0.5000, 0.0000, 0.0000)  12 Au 3.00-3.03
Ag (0.2262, 0.6332, 0.4524)  10 Au 2.91-2.99, 2 Ag 2.97
Ag (0.7738, 0.3668, 0.5476)  10 Au 2.91-2.99, 2 Ag 2.97
Au (0.5928, 0.4568, 0.1856)  3 Ag 2.94-2.97, 8 Au 2.94-3.03, 1 Ca 3.00
Au (0.3154, 0.0863, 0.6307)  8 Au 2.91-3.00, 3 Ag 2.97-2.99, 1 Ca 3.02
Au (0.1393, 0.1879, 0.2786)  3 Ag 2.91-2.95, 7 Au 2.94-3.08, 2 Ca 3.01
Au (0.0485, 0.7214, 0.0969)  1 Ag 2.92, 9 Au 2.93-3.08, 2 Ca 3.03
Au (0.8607, 0.8121, 0.7214)  3 Ag 2.91-2.95, 7 Au 2.94-3.08, 2 Ca 3.01
Au (0.6846, 0.9137, 0.3693)  8 Au 2.91-3.00, 3 Ag 2.97-2.99, 1 Ca 3.02
Au (0.4072, 0.5432, 0.8144)  3 Ag 2.94-2.97, 8 Au 2.94-3.03, 1 Ca 3.00
Au (0.9515, 0.2786, 0.9031)  1 Ag 2.92, 9 Au 2.93-3.08, 2 Ca 3.03

=====

It is 1 that is the least stable of them.

=====

1:
Compound: Ca2AgPbAu
Source: the Alexandria database
Functional: GGA-PBE
Structure: optimized geometry

Values from the calculation:
symmetry	P2_1/m, No. 11

Lattice parameters (Å, degrees): 4.7806 7.6757 7.6261 109.13 90.00 90.00
Closest atoms and distances in Å follow each position.
Positions (direct):
Ca (0.7500, 0.8652, 0.6472)  3 Au 3.14-3.18, 3 Ag 3.23-3.46, 3 Pb 3.35-3.41
Ca (0.7500, 0.6996, 0.0478)  3 Au 3.06-3.10, 3 Pb 3.26-3.39, 1 Ag 3.36
Ca (0.2500, 0.1348, 0.3528)  3 Au 3.14-3.18, 3 Ag 3.23-3.46, 3 Pb 3.35-3.41
Ca (0.2500, 0.3004, 0.9522)  3 Au 3.06-3.10, 3 Pb 3.26-3.39, 1 Ag 3.36
Ag (0.2500, 0.5428, 0.6569)  1 Au 2.83, 3 Pb 2.97-3.00
Ag (0.7500, 0.4572, 0.3431)  1 Au 2.83, 3 Pb 2.97-3.00
Pb (0.2500, 0.6839, 0.3331)  3 Ag 2.97-3.00, 2 Ca 3.26
Pb (0.7500, 0.3161, 0.6669)  3 Ag 2.97-3.00, 2 Ca 3.26
Au (0.2500, 0.8950, 0.9314)  1 Ag 2.83, 2 Au 2.88, 4 Ca 3.06-3.14
Au (0.7500, 0.1050, 0.0686)  1 Ag 2.83, 2 Au 2.88, 4 Ca 3.06-3.14

=====

2:
Compound: Ca2AgPbAu
Source: the Alexandria database
Functional: GGA-PBE
Structure: optimized geometry

Values from the calculation:
symmetry	P4/mmm, No. 123

Lattice parameters (Å, degrees): 6.0039 5.2103 6.0039 90.00 90.00 90.00
Closest atoms and distances in Å follow each position.
Positions (direct):
Pb (0.0000, 0.0000, 0.0000)  2 Ag 2.61
Ca (0.0000, 0.0000, 0.5000)  2 Pb 3.00
Ca (0.5000, 0.0000, 0.0000)  2 Pb 3.00
Au (0.5000, 0.5000, 0.5000)  8 Ca 3.97, 4 Ag 4.25
Ag (0.0000, 0.5000, 0.0000)  2 Pb 2.61

=====

It is 2 that is the least stable of them.

=====

1:
Compound: Cd3AgAu5
Source: the Alexandria database
Functional: GGA-PBE
Structure: optimized geometry

Values from the calculation:
symmetry	I4/mcm, No. 140

Lattice parameters (Å, degrees): 8.4310 8.4310 8.0590 121.54 121.54 90.00
Closest atoms and distances in Å follow each position.
Positions (direct):
Cd (0.6122, 0.1122, 0.0000)  2 Au 2.67, 1 Cd 2.67
Cd (0.3878, 0.8878, 0.0000)  2 Au 2.67, 1 Cd 2.67
Cd (0.8878, 0.6122, 0.0000)  2 Au 2.67, 1 Cd 2.67
Cd (0.1122, 0.3878, 0.0000)  2 Au 2.67, 1 Cd 2.67
Cd (0.2500, 0.2500, 0.5000)  2 Au 2.71
Cd (0.7500, 0.7500, 0.5000)  2 Au 2.71
Ag (0.7500, 0.2500, 0.5000)  4 Au 2.70
Ag (0.2500, 0.7500, 0.5000)  4 Au 2.70
Au (0.0655, 0.5655, 0.7300)  1 Cd 2.67, 1 Ag 2.70, 2 Au 2.76-2.93
Au (0.6645, 0.1645, 0.7300)  1 Cd 2.67, 1 Ag 2.70, 2 Au 2.76-2.93
Au (0.1645, 0.0655, 0.7300)  1 Cd 2.67, 1 Ag 2.70, 2 Au 2.76-2.93
Au (0.5655, 0.6645, 0.7300)  1 Cd 2.67, 1 Ag 2.70, 2 Au 2.76-2.93
Au (0.9345, 0.4345, 0.2700)  1 Cd 2.67, 1 Ag 2.70, 2 Au 2.76-2.93
Au (0.3355, 0.8355, 0.2700)  1 Cd 2.67, 1 Ag 2.70, 2 Au 2.76-2.93
Au (0.8355, 0.9345, 0.2700)  1 Cd 2.67, 1 Ag 2.70, 2 Au 2.76-2.93
Au (0.4345, 0.3355, 0.2700)  1 Cd 2.67, 1 Ag 2.70, 2 Au 2.76-2.93
Au (0.5000, 0.5000, 0.0000)  2 Cd 2.71
Au (0.0000, 0.0000, 0.0000)  2 Cd 2.71

=====

2:
Compound: Cd3AgAu5
Source: the Alexandria database
Functional: GGA-PBE
Structure: optimized geometry

Values from the calculation:
symmetry	P6_3/mcm, No. 193

Lattice parameters (Å, degrees): 5.8103 8.2847 8.2879 119.99 90.00 90.00
Closest atoms and distances in Å follow each position.
Positions (direct):
Cd (0.7500, 0.3509, 0.3508)  9 Au 2.77-3.06
Cd (0.7500, 0.0001, 0.6492)  9 Au 2.77-3.06
Cd (0.7500, 0.6494, 0.0000)  9 Au 2.77-3.06
Cd (0.2500, 0.6491, 0.6492)  9 Au 2.77-3.06
Cd (0.2500, 0.9999, 0.3508)  9 Au 2.77-3.06
Cd (0.2500, 0.3506, 0.0000)  9 Au 2.77-3.06
Ag (0.0000, 0.0000, 0.0000)  2 Ag 2.91, 6 Au 2.98, 6 Cd 3.25
Ag (0.5000, 0.0000, 0.0000)  2 Ag 2.91, 6 Au 2.98, 6 Cd 3.25
Au (0.0000, 0.6667, 0.3334)  8 Au 2.91-3.20, 6 Cd 3.06
Au (0.5000, 0.3333, 0.6666)  8 Au 2.91-3.20, 6 Cd 3.06
Au (0.0000, 0.3333, 0.6666)  8 Au 2.91-3.20, 6 Cd 3.06
Au (0.5000, 0.6667, 0.3334)  8 Au 2.91-3.20, 6 Cd 3.06
Au (0.7500, 0.6863, 0.6863)  5 Cd 2.77-2.92, 2 Ag 2.98
Au (0.7500, 0.0000, 0.3137)  5 Cd 2.77-2.92, 2 Ag 2.98
Au (0.7500, 0.3137, 0.0000)  5 Cd 2.77-2.92, 2 Ag 2.98
Au (0.2500, 0.3137, 0.3137)  5 Cd 2.77-2.92, 2 Ag 2.98
Au (0.2500, 0.0000, 0.6863)  5 Cd 2.77-2.92, 2 Ag 2.98
Au (0.2500, 0.6863, 0.0000)  5 Cd 2.77-2.92, 2 Ag 2.98

=====

It is 1 that is the least stable of them.

=====

1:
Compound: Cd4Ag7Au
Source: the Alexandria database
Functional: GGA-PBE
Structure: optimized geometry

Values from the calculation:
symmetry	P-1, No. 2

Lattice parameters (Å, degrees): 5.8607 7.9185 7.8570 69.29 78.19 41.83
Closest atoms and distances in Å follow each position.
Positions (direct):
Cd (0.4884, 0.6744, 0.3270)  8 Ag 2.91-3.11, 1 Au 2.96, 3 Cd 3.03-3.06
Cd (0.5116, 0.3256, 0.6730)  8 Ag 2.91-3.11, 1 Au 2.96, 3 Cd 3.03-3.06
Cd (0.7543, 0.8248, 0.6718)  9 Ag 2.91-3.05, 3 Cd 3.03-3.09
Cd (0.2457, 0.1752, 0.3282)  9 Ag 2.91-3.05, 3 Cd 3.03-3.09
Ag (0.7488, 0.4988, 0.9977)  7 Ag 2.90-3.05, 3 Cd 2.94-3.01, 2 Au 3.01
Ag (0.2512, 0.5012, 0.0023)  7 Ag 2.90-3.05, 3 Cd 2.94-3.01, 2 Au 3.01
Ag (0.0056, 0.3295, 0.6689)  6 Cd 2.91-3.11, 5 Ag 2.93-3.03, 1 Au 2.98
Ag (0.9944, 0.6705, 0.3311)  6 Cd 2.91-3.11, 5 Ag 2.93-3.03, 1 Au 2.98
Ag (0.2525, 0.8311, 0.6674)  6 Cd 2.91-3.05, 1 Au 2.96, 5 Ag 2.98-3.04
Ag (0.5000, 0.0000, 0.0000)  2 Au 2.93, 4 Cd 2.94-2.96, 6 Ag 3.00-3.05
Ag (0.7475, 0.1689, 0.3326)  6 Cd 2.91-3.05, 1 Au 2.96, 5 Ag 2.98-3.04
Au (0.0000, 0.0000, 0.0000)  10 Ag 2.93-3.01, 2 Cd 2.96

=====

2:
Compound: Cd4Ag7Au
Source: the Alexandria database
Functional: GGA-PBE
Structure: optimized geometry

Values from the calculation:
symmetry	C2/m, No. 12

Lattice parameters (Å, degrees): 5.1451 9.5643 5.8802 81.31 64.06 74.40
Closest atoms and distances in Å follow each position.
Positions (direct):
Cd (0.6172, 0.2272, 0.5383)  8 Ag 2.82-3.15
Cd (0.3828, 0.7728, 0.4617)  8 Ag 2.82-3.15
Cd (0.7904, 0.6534, 0.7658)  6 Ag 2.80-3.12
Cd (0.2096, 0.3466, 0.2342)  6 Ag 2.80-3.12
Ag (0.7876, 0.9223, 0.5024)  1 Au 2.72, 4 Ag 2.75-2.94, 4 Cd 2.80-2.93
Ag (0.2124, 0.0777, 0.4976)  1 Au 2.72, 4 Ag 2.75-2.94, 4 Cd 2.80-2.93
Ag (0.0691, 0.6854, 0.1765)  4 Ag 2.80-3.10, 1 Au 3.01, 4 Cd 3.10-3.12
Ag (0.9309, 0.3146, 0.8235)  4 Ag 2.80-3.10, 1 Au 3.01, 4 Cd 3.10-3.12
Ag (0.3659, 0.5008, 0.7674)  5 Cd 2.80-2.93, 4 Ag 2.80-3.10
Ag (0.5000, 0.0000, 0.0000)  2 Au 2.57, 2 Ag 2.75
Ag (0.6341, 0.4992, 0.2326)  5 Cd 2.80-2.93, 4 Ag 2.80-3.10
Au (0.0000, 0.0000, 0.0000)  4 Ag 2.57-2.72

=====

It is 2 that is the least stable of them.

=====

1:
Compound: Cd8Ag2Au3
Source: the Alexandria database
Functional: GGA-PBE
Structure: optimized geometry

Values from the calculation:
symmetry	Cmmm, No. 65

Lattice parameters (Å, degrees): 4.7045 8.0933 8.0938 71.38 90.00 90.00
Closest atoms and distances in Å follow each position.
Positions (direct):
Cd (0.0000, 0.3730, 0.3731)  2 Au 2.86, 2 Ag 2.87, 1 Cd 3.19
Cd (0.0000, 0.6270, 0.6269)  2 Au 2.86, 2 Ag 2.87, 1 Cd 3.19
Cd (0.0000, 0.8696, 0.8695)  2 Ag 2.81, 4 Au 2.91-2.95
Cd (0.0000, 0.1304, 0.1305)  2 Ag 2.81, 4 Au 2.91-2.95
Cd (0.5000, 0.3864, 0.8698)  2 Ag 2.80-2.91, 3 Au 2.89-2.96
Cd (0.5000, 0.8696, 0.3864)  2 Ag 2.80-2.91, 3 Au 2.89-2.96
Cd (0.5000, 0.1304, 0.6136)  2 Ag 2.80-2.91, 3 Au 2.89-2.96
Cd (0.5000, 0.6136, 0.1302)  2 Ag 2.80-2.91, 3 Au 2.89-2.96
Ag (0.5000, 0.7520, 0.7519)  8 Cd 2.80-2.91
Ag (0.5000, 0.2480, 0.2481)  8 Cd 2.80-2.91
Au (0.5000, 0.0000, 0.0000)  8 Cd 2.91-2.96
Au (0.0000, 0.7459, 0.2539)  8 Cd 2.86-2.95
Au (0.0000, 0.2541, 0.7461)  8 Cd 2.86-2.95

=====

2:
Compound: Cd8Ag2Au3
Source: the Alexandria database
Functional: GGA-PBE
Structure: optimized geometry

Values from the calculation:
symmetry	C2/m, No. 12

Lattice parameters (Å, degrees): 5.6957 8.0362 7.3863 122.96 96.98 90.00
Closest atoms and distances in Å follow each position.
Positions (direct):
Cd (0.8886, 0.5970, 0.1940)  1 Ag 2.85, 4 Cd 2.88-3.08, 2 Au 2.96
Cd (0.1114, 0.4030, 0.8060)  1 Ag 2.85, 4 Cd 2.88-3.08, 2 Au 2.96
Cd (0.8147, 0.1921, 0.3842)  3 Au 2.77-3.09, 2 Ag 2.77-2.93, 1 Cd 2.90
Cd (0.1853, 0.8079, 0.6158)  3 Au 2.77-3.09, 2 Ag 2.77-2.93, 1 Cd 2.90
Cd (0.5740, 0.5691, 0.7645)  2 Ag 2.85-2.93, 2 Au 2.86-2.97, 3 Cd 3.00-3.15
Cd (0.5740, 0.1955, 0.7645)  2 Ag 2.85-2.93, 2 Au 2.86-2.97, 3 Cd 3.00-3.15
Cd (0.4260, 0.8045, 0.2355)  2 Ag 2.85-2.93, 2 Au 2.86-2.97, 3 Cd 3.00-3.15
Cd (0.4260, 0.4309, 0.2355)  2 Ag 2.85-2.93, 2 Au 2.86-2.97, 3 Cd 3.00-3.15
Ag (0.3042, 0.2030, 0.4059)  7 Cd 2.77-2.93, 1 Au 2.90
Ag (0.6958, 0.7970, 0.5941)  7 Cd 2.77-2.93, 1 Au 2.90
Au (0.5000, 0.0000, 0.0000)  6 Cd 2.77-2.97, 2 Ag 2.90
Au (0.0000, 0.1782, 0.0000)  6 Cd 2.86-3.09, 3 Au 2.86-3.19, 2 Ag 3.18
Au (0.0000, 0.8218, 0.0000)  6 Cd 2.86-3.09, 3 Au 2.86-3.19, 2 Ag 3.18

=====

It is 2 that is the least stable of them.